Density functional theory data (PBE with a Hubbard U) for NdAl2MoO8 after structural relaxation.

a b c (Å): 4.611 4.611 6.504
angles (deg): 90.00 90.00 91.11
Atoms (fractional coordinates):
Nd: 0.000 0.000 0.000
Al: 0.500 0.500 0.273
Al: 0.500 0.500 0.727
Mo: 0.000 0.000 0.500
O: 0.210 0.210 0.290
O: 0.210 0.210 0.710
O: 0.302 0.698 0.500
O: 0.344 0.656 0.000
O: 0.656 0.344 0.000
O: 0.698 0.302 0.500
O: 0.790 0.790 0.290
O: 0.790 0.790 0.710

Properties
SG = No. 65
DFT total energy = -7.2151 eV per atom